La3Ho2Er2: relaxed, PBE-GGA.

a = 9.0343 Å, b = 9.0343 Å, c = 8.6015 Å
α = 117.89°, β = 117.89°, γ = 22.42°
Sites, in units of the cell vectors:
La 0.0000 0.0000 0.0000
La 0.2138 0.2138 0.2953
La 0.7862 0.7862 0.7047
Ho 0.4356 0.4356 0.5889
Ho 0.5644 0.5644 0.4111
Er 0.1403 0.1403 0.8188
Er 0.8597 0.8597 0.1812

Summary:
crystal system: monoclinic
final energy: -4.61 eV/atom